Entry 1:
A geometry-optimized K2NiPd structure, computed with PBE.

- energy above the most stable polymorph in this dataset (eV per formula unit) = 0.000
- calculated formation energy (eV per formula unit) = 1.89
- E_tot (eV/atom) = -2.819
- theoretical density (kg/m³) = 2473

Cell lengths 11.824, 11.824, 4.674 Å; angles 90.00, 90.00, 90.00 degrees
Space group I-42d (No. 122)
Asymmetric unit:
1 K 0.051 0.250 0.125 x8
2 Ni 0.000 0.000 0.000 x4
3 Pd 0.000 0.000 0.500 x4



Entry 2:
A geometry-optimized K2Ni2Pd structure, computed with PBE.

- calculated formation energy (eV per formula unit) = 2.25
- E_tot (eV/atom) = -3.341
- theoretical density (kg/m³) = 4575

Cell lengths 6.421, 6.421, 5.318 Å; angles 90.00, 90.00, 90.00 degrees
Space group P4/mbm (No. 127)
Asymmetric unit:
1 K 0.186 0.314 0.000 x4
2 Ni 0.124 0.624 0.500 x4
3 Pd 0.000 0.000 0.500 x2



Entry 3:
A geometry-optimized KNi3Pd structure, computed with PBE.

- energy above the most stable polymorph in this dataset (eV per formula unit) = 0.000
- calculated formation energy (eV per formula unit) = 4.72
- E_tot (eV/atom) = -3.782
- theoretical density (kg/m³) = 5000

Cell lengths 4.745, 4.745, 4.745 Å; angles 90.00, 90.00, 90.00 degrees
Space group Pm-3m (No. 221)
Asymmetric unit:
1 K 0.000 0.000 0.000 x1
2 Ni 0.000 0.500 0.500 x3
3 Pd 0.500 0.500 0.500 x1



Entry 4:
A geometry-optimized KNi2Pd2 structure, computed with PBE.

- energy above the most stable polymorph in this dataset (eV per formula unit) = 0.167
- calculated formation energy (eV per formula unit) = 1.32
- E_tot (eV/atom) = -4.346
- theoretical density (kg/m³) = 7400

Cell lengths 7.835, 7.835, 2.700 Å; angles 90.00, 90.00, 90.00 degrees
Space group P4/mbm (No. 127)
Asymmetric unit:
1 K 0.000 0.000 0.000 x2
2 Ni 0.162 0.338 0.500 x4
3 Pd 0.130 0.630 0.000 x4



Entry 5:
A geometry-optimized K2NiPd4 structure, computed with PBE.

- calculated formation energy (eV per formula unit) = 3.42
- E_tot (eV/atom) = -3.618
- theoretical density (kg/m³) = 5197

Cell lengths 4.742, 4.742, 15.983 Å; angles 90.00, 90.00, 90.00 degrees
Space group I4/mmm (No. 139)
Asymmetric unit:
1 K 0.000 0.000 0.148 x4
2 Ni 0.000 0.000 0.500 x2
3 Pd 0.000 0.000 0.353 x4
4 Pd 0.000 0.500 0.000 x4



Entry 6:
A geometry-optimized K2NiPdS4 structure, computed with PBE.

- E_tot (eV/atom) = -4.248
- formation energy (no corrections) (eV/atom) = -0.538
- theoretical density (kg/m³) = 3259

Cell lengths 5.592, 13.071, 20.719 Å; angles 90.00, 90.00, 90.00 degrees
Space group Fddd (No. 70, origin choice 2)
Asymmetric unit:
1 K 0.125 0.125 0.311 x16
2 Ni 0.125 0.125 0.625 x8
3 Pd 0.125 0.125 0.125 x8
4 S 0.099 0.281 0.812 x32



Entry 7:
A geometry-optimized KScNi2Pd structure, computed with PBE.

- calculated formation energy (eV per formula unit) = 5.45
- E_tot (eV/atom) = -3.747
- theoretical density (kg/m³) = 4478

Cell lengths 4.513, 4.513, 5.607 Å; angles 90.00, 90.00, 90.00 degrees
Space group P4/mmm (No. 123)
Asymmetric unit:
1 K 0.000 0.000 0.000 x1
2 Sc 0.000 0.000 0.500 x1
3 Ni 0.000 0.500 0.500 x2
4 Pd 0.500 0.500 0.000 x1



Entry 8:
A geometry-optimized KNi2PdSe structure, computed with PBE.

- E_tot (eV/atom) = -3.789
- formation energy (no corrections) (eV/atom) = 0.479
- theoretical density (kg/m³) = 4970

Cell lengths 4.408, 4.408, 5.877 Å; angles 90.00, 90.00, 90.00 degrees
Space group P4/mmm (No. 123)
Asymmetric unit:
1 K 0.000 0.000 0.000 x1
2 Ni 0.000 0.500 0.500 x2
3 Pd 0.500 0.500 0.000 x1
4 Se 0.000 0.000 0.500 x1



Entry 9:
A geometry-optimized KSiNi2Pd structure, computed with PBE.

- E_tot (eV/atom) = -3.982
- formation energy (no corrections) (eV/atom) = 0.673
- theoretical density (kg/m³) = 4625

Cell lengths 4.279, 4.279, 5.708 Å; angles 90.00, 90.00, 90.00 degrees
Space group P4/mmm (No. 123)
Asymmetric unit:
1 K 0.000 0.000 0.000 x1
2 Si 0.000 0.000 0.500 x1
3 Ni 0.000 0.500 0.500 x2
4 Pd 0.500 0.500 0.000 x1



Entry 10:
A geometry-optimized KTcNiPd2 structure, computed with PBE.

- calculated formation energy (eV per formula unit) = 11.81
- E_tot (eV/atom) = -3.164
- theoretical density (kg/m³) = 5697

Cell lengths 4.828, 4.828, 5.111 Å; angles 90.00, 90.00, 90.00 degrees
Space group P4/mmm (No. 123)
Asymmetric unit:
1 K 0.000 0.000 0.000 x1
2 Tc 0.000 0.000 0.500 x1
3 Ni 0.500 0.500 0.500 x1
4 Pd 0.000 0.500 0.000 x2



Entry 11:
A geometry-optimized K2TcNiPd structure, computed with PBE.

- calculated formation energy (eV per formula unit) = 7.23
- E_tot (eV/atom) = -3.260
- theoretical density (kg/m³) = 3345

Cell lengths 5.990, 5.990, 4.722 Å; angles 90.00, 90.00, 90.00 degrees
Space group P4/mmm (No. 123)
Asymmetric unit:
1 K 0.000 0.500 0.000 x2
2 Tc 0.000 0.000 0.500 x1
3 Ni 0.500 0.500 0.500 x1
4 Pd 0.500 0.500 0.000 x1



Entry 12:
A geometry-optimized KPm2Ni structure, computed with PBE.

- calculated formation energy (eV per formula unit) = 0.10
- E_tot (eV/atom) = -4.071
- theoretical density (kg/m³) = 3957

Cell lengths 4.0997, 4.0997, 33.5374 Å; angles 90.00, 90.00, 120.00 degrees
Space group R-3m (No. 166, hexagonal axes)
Asymmetric unit:
1 K 0.0000 0.0000 0.0000 x3
2 Pm 0.0000 0.0000 0.1243 x6
3 Ni 0.0000 0.0000 0.5000 x3



Entry 13:
A geometry-optimized KPr2Ni structure, computed with PBE.

- calculated formation energy (eV per formula unit) = 0.14
- E_tot (eV/atom) = -4.073
- theoretical density (kg/m³) = 3737

Cell lengths 4.1518, 4.1518, 33.8996 Å; angles 90.00, 90.00, 120.00 degrees
Space group R-3m (No. 166, hexagonal axes)
Asymmetric unit:
1 K 0.0000 0.0000 0.0000 x3
2 Pr 0.0000 0.0000 0.1239 x6
3 Ni 0.0000 0.0000 0.5000 x3



Entry 14:
A geometry-optimized K3NiPt structure, computed with PBE.

- energy above the most stable polymorph in this dataset (eV per formula unit) = 0.000
- calculated formation energy (eV per formula unit) = 2.89
- E_tot (eV/atom) = -2.445
- theoretical density (kg/m³) = 2667

Cell lengths 6.136, 6.136, 6.136 Å; angles 90.00, 90.00, 90.00 degrees
Space group Pm-3m (No. 221)
Asymmetric unit:
1 K 0.000 0.000 0.500 x3
2 Ni 0.500 0.500 0.500 x1
3 Pt 0.000 0.000 0.000 x1



Entry 15:
A geometry-optimized KNiPt3 structure, computed with PBE.

- energy above the most stable polymorph in this dataset (eV per formula unit) = 0.000
- calculated formation energy (eV per formula unit) = 3.11
- E_tot (eV/atom) = -4.378
- theoretical density (kg/m³) = 10836

Cell lengths 4.713, 4.713, 4.713 Å; angles 90.00, 90.00, 90.00 degrees
Space group Pm-3m (No. 221)
Asymmetric unit:
1 K 0.000 0.000 0.000 x1
2 Ni 0.500 0.500 0.500 x1
3 Pt 0.000 0.500 0.500 x3



Entry 16:
A geometry-optimized KNi3Pt structure, computed with PBE.

- energy above the most stable polymorph in this dataset (eV per formula unit) = 0.000
- calculated formation energy (eV per formula unit) = 3.89
- E_tot (eV/atom) = -4.119
- theoretical density (kg/m³) = 6331

Cell lengths 4.756, 4.756, 4.756 Å; angles 90.00, 90.00, 90.00 degrees
Space group Pm-3m (No. 221)
Asymmetric unit:
1 K 0.000 0.000 0.000 x1
2 Ni 0.000 0.500 0.500 x3
3 Pt 0.500 0.500 0.500 x1



Entry 17:
A geometry-optimized KNiPt3 structure, computed with PBE.

- energy above the most stable polymorph in this dataset (eV per formula unit) = 8.951
- calculated formation energy (eV per formula unit) = 12.06
- E_tot (eV/atom) = -2.588
- theoretical density (kg/m³) = 9644

Cell lengths 4.899, 4.899, 4.899 Å; angles 90.00, 90.00, 90.00 degrees
Space group Pm-3m (No. 221)
Asymmetric unit:
1 K 0.000 0.000 0.000 x1
2 Ni 0.500 0.500 0.500 x1
3 Pt 0.000 0.000 0.500 x3



Entry 18:
A geometry-optimized K2NiPt2 structure, computed with PBE.

- calculated formation energy (eV per formula unit) = 0.56
- E_tot (eV/atom) = -3.899
- theoretical density (kg/m³) = 7835

Cell lengths 6.421, 6.421, 5.418 Å; angles 90.00, 90.00, 90.00 degrees
Space group P4/mbm (No. 127)
Asymmetric unit:
1 K 0.178 0.322 0.000 x4
2 Ni 0.000 0.000 0.500 x2
3 Pt 0.141 0.641 0.500 x4



Entry 19:
A geometry-optimized KNi3Pt structure, computed with PBE.

- energy above the most stable polymorph in this dataset (eV per formula unit) = 6.292
- calculated formation energy (eV per formula unit) = 10.18
- E_tot (eV/atom) = -2.861
- theoretical density (kg/m³) = 8361

Cell lengths 4.335, 4.335, 4.335 Å; angles 90.00, 90.00, 90.00 degrees
Space group Pm-3m (No. 221)
Asymmetric unit:
1 K 0.000 0.000 0.000 x1
2 Ni 0.000 0.000 0.500 x3
3 Pt 0.500 0.500 0.500 x1



Entry 20:
A geometry-optimized KNi4Pt structure, computed with PBE.

- calculated formation energy (eV per formula unit) = 2.93
- E_tot (eV/atom) = -4.555
- theoretical density (kg/m³) = 8985

Cell lengths 7.025, 7.025, 7.025 Å; angles 90.00, 90.00, 90.00 degrees
Space group F-43m (No. 216)
Asymmetric unit:
1 K 0.000 0.000 0.000 x4
2 Ni 0.124 0.124 0.624 x16
3 Pt 0.250 0.250 0.250 x4